The following is a DFT calculation (PBE) of an optimized crystal structure of TbErFeCu.

```
TbErFeCu
1.0
0.000 3.379 3.379
3.379 0.000 3.379
3.379 3.379 0.000
Tb Er Fe Cu
1 1 1 1
direct
0.000 0.000 0.000
0.500 0.500 0.500
0.250 0.250 0.250
0.750 0.750 0.750
```

Computed properties:
magnetic moment	0.00	μB per atom
SG	F-43m, No. 216
total energy	-21.9	eV for the cell shown